(w)
Computed, not measured: a relaxed Rb2SbPb crystal at the PBE-GGA level of DFT.

Spin magnetization in μB per atom: 0.000
Symmetry: I-42d

Lattice parameters (Å, degrees): 13.564 13.564 5.917 90.00 90.00 90.00
Positions (direct):
Rb (0.071, 0.250, 0.125)
Rb (0.250, 0.571, 0.375)
Rb (0.250, 0.929, 0.875)
Rb (0.429, 0.250, 0.625)
Rb (0.571, 0.750, 0.625)
Rb (0.750, 0.071, 0.875)
Rb (0.750, 0.429, 0.375)
Rb (0.929, 0.750, 0.125)
Sb (0.000, 0.000, 0.000)
Sb (0.000, 0.500, 0.250)
Sb (0.500, 0.000, 0.750)
Sb (0.500, 0.500, 0.500)
Pb (0.000, 0.000, 0.500)
Pb (0.000, 0.500, 0.750)
Pb (0.500, 0.000, 0.250)
Pb (0.500, 0.500, 0.000)

(x)
Computed, not measured: a relaxed Rb2SbPb crystal at the PBE-GGA level of DFT.

Spin magnetization in μB per atom: 0.162
Symmetry: Fm-3m

Lattice parameters (Å, degrees): 8.670 8.670 8.670 90.00 90.00 90.00
Positions (direct):
Rb (0.250, 0.250, 0.250)
Rb (0.250, 0.250, 0.750)
Rb (0.250, 0.750, 0.250)
Rb (0.250, 0.750, 0.750)
Rb (0.750, 0.250, 0.250)
Rb (0.750, 0.250, 0.750)
Rb (0.750, 0.750, 0.250)
Rb (0.750, 0.750, 0.750)
Sb (0.000, 0.000, 0.000)
Sb (0.000, 0.500, 0.500)
Sb (0.500, 0.000, 0.500)
Sb (0.500, 0.500, 0.000)
Pb (0.000, 0.000, 0.500)
Pb (0.000, 0.500, 0.000)
Pb (0.500, 0.000, 0.000)
Pb (0.500, 0.500, 0.500)

(y)
Computed, not measured: a relaxed Rb2SbPb crystal at the PBE-GGA level of DFT.

Spin magnetization in μB per atom: 0.000
Symmetry: Cm

Lattice parameters (Å, degrees): 12.850 6.004 6.030 90.00 117.02 90.00
Positions (direct):
Rb (0.000, 0.000, 0.000)
Rb (0.138, 0.500, 0.632)
Rb (0.500, 0.500, 0.000)
Rb (0.638, 0.000, 0.632)
Sb (0.318, 0.000, 0.021)
Sb (0.818, 0.500, 0.021)
Pb (0.319, 0.000, 0.519)
Pb (0.819, 0.500, 0.519)

Relative to the most stable structure, the computed energies are (w) 106; (x) 165; (y) 0, all in meV/atom.

(w)
Computed, not measured: a relaxed RbSb2Pb3 crystal at the PBE-GGA level of DFT.

Spin magnetization in μB per atom: 0.000
Symmetry: C2/m

Lattice parameters (Å, degrees): 9.673 9.673 9.817 116.41 116.41 33.10
Positions (direct):
Rb (0.145, 0.145, 0.074)
Rb (0.855, 0.855, 0.926)
Sb (0.188, 0.188, 0.751)
Sb (0.478, 0.478, 0.834)
Sb (0.522, 0.522, 0.166)
Sb (0.812, 0.812, 0.249)
Pb (0.055, 0.055, 0.397)
Pb (0.289, 0.289, 0.584)
Pb (0.408, 0.408, 0.330)
Pb (0.592, 0.592, 0.670)
Pb (0.711, 0.711, 0.416)
Pb (0.945, 0.945, 0.603)

(x)
Computed, not measured: a relaxed RbSb2Pb3 crystal at the PBE-GGA level of DFT.

Spin magnetization in μB per atom: 0.000
Symmetry: C2/m

Lattice parameters (Å, degrees): 10.258 10.258 11.893 124.62 124.62 25.71
Positions (direct):
Rb (0.126, 0.126, 0.130)
Rb (0.874, 0.874, 0.870)
Sb (0.181, 0.181, 0.672)
Sb (0.493, 0.493, 0.181)
Sb (0.507, 0.507, 0.819)
Sb (0.819, 0.819, 0.328)
Pb (0.003, 0.003, 0.644)
Pb (0.318, 0.318, 0.127)
Pb (0.324, 0.324, 0.527)
Pb (0.676, 0.676, 0.473)
Pb (0.682, 0.682, 0.873)
Pb (0.997, 0.997, 0.356)

Relative to the most stable structure, the computed energies are (w) 0; (x) 11, all in meV/atom.

(w)
Computed, not measured: a relaxed RbSb2Pb4 crystal at the PBE-GGA level of DFT.

Spin magnetization in μB per atom: 0.000
Symmetry: Cmmm

Lattice parameters (Å, degrees): 4.954 19.201 5.243 90.00 90.00 90.00
Positions (direct):
Rb (0.000, 0.000, 0.000)
Rb (0.500, 0.500, 0.000)
Sb (0.000, 0.421, 0.500)
Sb (0.000, 0.579, 0.500)
Sb (0.500, 0.079, 0.500)
Sb (0.500, 0.921, 0.500)
Pb (0.000, 0.181, 0.500)
Pb (0.000, 0.313, 0.000)
Pb (0.000, 0.687, 0.000)
Pb (0.000, 0.819, 0.500)
Pb (0.500, 0.187, 0.000)
Pb (0.500, 0.319, 0.500)
Pb (0.500, 0.681, 0.500)
Pb (0.500, 0.813, 0.000)

(x)
Computed, not measured: a relaxed RbSb2Pb4 crystal at the PBE-GGA level of DFT.

Spin magnetization in μB per atom: 0.000
Symmetry: P-1

Lattice parameters (Å, degrees): 4.228 4.267 16.025 95.40 92.79 115.69
Positions (direct):
Rb (0.000, 0.000, 0.000)
Sb (0.283, 0.549, 0.826)
Sb (0.717, 0.451, 0.174)
Pb (0.144, 0.291, 0.435)
Pb (0.416, 0.856, 0.278)
Pb (0.584, 0.144, 0.722)
Pb (0.856, 0.709, 0.565)

Relative to the most stable structure, the computed energies are (w) 0; (x) 112, all in meV/atom.

(w)
Computed, not measured: a relaxed RbSb3Pb crystal at the PBE-GGA level of DFT.

Spin magnetization in μB per atom: 0.000
Symmetry: Pm-3m

Lattice parameters (Å, degrees): 5.949 5.949 5.949 90.00 90.00 90.00
Positions (direct):
Rb (0.000, 0.000, 0.000)
Sb (0.000, 0.500, 0.500)
Sb (0.500, 0.000, 0.500)
Sb (0.500, 0.500, 0.000)
Pb (0.500, 0.500, 0.500)

(x)
Computed, not measured: a relaxed RbSb3Pb crystal at the PBE-GGA level of DFT.

Spin magnetization in μB per atom: 0.000
Symmetry: Pm-3m

Lattice parameters (Å, degrees): 5.939 5.939 5.939 90.00 90.00 90.00
Positions (direct):
Rb (0.000, 0.000, 0.000)
Sb (0.000, 0.000, 0.500)
Sb (0.000, 0.500, 0.000)
Sb (0.500, 0.000, 0.000)
Pb (0.500, 0.500, 0.500)

Relative to the most stable structure, the computed energies are (w) 0; (x) 805, all in meV/atom.

(w)
Computed, not measured: a relaxed RbSbTe2Pb crystal at the PBE-GGA level of DFT.

Spin magnetization in μB per atom: 0.000
Symmetry: P4/mmm

Lattice parameters (Å, degrees): 6.176 6.176 5.898 90.00 90.00 90.00
Positions (direct):
Rb (0.000, 0.000, 0.000)
Sb (0.000, 0.000, 0.500)
Te (0.000, 0.500, 0.000)
Te (0.500, 0.000, 0.000)
Pb (0.500, 0.500, 0.500)

(x)
Computed, not measured: a relaxed RbSbTe2Pb crystal at the PBE-GGA level of DFT.

Spin magnetization in μB per atom: 0.243
Symmetry: P4/mmm

Lattice parameters (Å, degrees): 6.083 6.083 5.908 90.00 90.00 90.00
Positions (direct):
Rb (0.000, 0.000, 0.000)
Sb (0.500, 0.500, 0.000)
Te (0.000, 0.500, 0.500)
Te (0.500, 0.000, 0.500)
Pb (0.500, 0.500, 0.500)

Relative to the most stable structure, the computed energies are (w) 840; (x) 0, all in meV/atom.

(w)
Computed, not measured: a relaxed RbSb2TePb crystal at the PBE-GGA level of DFT.

Spin magnetization in μB per atom: 0.300
Symmetry: P4/mmm

Lattice parameters (Å, degrees): 5.930 5.930 6.183 90.00 90.00 90.00
Positions (direct):
Rb (0.000, 0.000, 0.000)
Sb (0.000, 0.500, 0.500)
Sb (0.500, 0.000, 0.500)
Te (0.500, 0.500, 0.000)
Pb (0.500, 0.500, 0.500)

(x)
Computed, not measured: a relaxed RbSb2TePb crystal at the PBE-GGA level of DFT.

Spin magnetization in μB per atom: 0.000
Symmetry: P4/mmm

Lattice parameters (Å, degrees): 5.955 5.955 6.152 90.00 90.00 90.00
Positions (direct):
Rb (0.000, 0.000, 0.000)
Sb (0.000, 0.500, 0.000)
Sb (0.500, 0.000, 0.000)
Te (0.000, 0.000, 0.500)
Pb (0.500, 0.500, 0.500)

Relative to the most stable structure, the computed energies are (w) 0; (x) 824, all in meV/atom.

(w)
Computed, not measured: a relaxed RbSc2Pb2 crystal at the PBE-GGA level of DFT.

Spin magnetization in μB per atom: 0.155
Symmetry: P4/mbm

Lattice parameters (Å, degrees): 9.269 9.269 3.338 90.00 90.00 90.00
Positions (direct):
Rb (0.000, 0.000, 0.000)
Rb (0.500, 0.500, 0.000)
Sc (0.127, 0.373, 0.000)
Sc (0.373, 0.873, 0.000)
Sc (0.627, 0.127, 0.000)
Sc (0.873, 0.627, 0.000)
Pb (0.165, 0.665, 0.500)
Pb (0.335, 0.165, 0.500)
Pb (0.665, 0.835, 0.500)
Pb (0.835, 0.335, 0.500)

(x)
Computed, not measured: a relaxed RbSc2Pb2 crystal at the PBE-GGA level of DFT.

Spin magnetization in μB per atom: 0.000
Symmetry: I4/mmm

Lattice parameters (Å, degrees): 5.131 5.131 13.091 90.00 90.00 90.00
Positions (direct):
Rb (0.000, 0.000, 0.000)
Rb (0.500, 0.500, 0.500)
Sc (0.000, 0.500, 0.250)
Sc (0.000, 0.500, 0.750)
Sc (0.500, 0.000, 0.250)
Sc (0.500, 0.000, 0.750)
Pb (0.000, 0.000, 0.370)
Pb (0.000, 0.000, 0.630)
Pb (0.500, 0.500, 0.130)
Pb (0.500, 0.500, 0.870)

Relative to the most stable structure, the computed energies are (w) 0; (x) 98, all in meV/atom.

(w)
Computed, not measured: a relaxed RbPb2Se2 crystal at the PBE-GGA level of DFT.

Spin magnetization in μB per atom: 0.000
Symmetry: P4/mbm

Lattice parameters (Å, degrees): 8.832 8.832 4.084 90.00 90.00 90.00
Positions (direct):
Rb (0.000, 0.000, 0.000)
Rb (0.500, 0.500, 0.000)
Pb (0.129, 0.371, 0.500)
Pb (0.371, 0.871, 0.500)
Pb (0.629, 0.129, 0.500)
Pb (0.871, 0.629, 0.500)
Se (0.151, 0.651, 0.000)
Se (0.349, 0.151, 0.000)
Se (0.651, 0.849, 0.000)
Se (0.849, 0.349, 0.000)

(x)
Computed, not measured: a relaxed RbPb2Se2 crystal at the PBE-GGA level of DFT.

Spin magnetization in μB per atom: 0.000
Symmetry: I4/mmm

Lattice parameters (Å, degrees): 5.664 5.664 10.910 90.00 90.00 90.00
Positions (direct):
Rb (0.000, 0.000, 0.000)
Rb (0.500, 0.500, 0.500)
Pb (0.000, 0.000, 0.345)
Pb (0.000, 0.000, 0.655)
Pb (0.500, 0.500, 0.155)
Pb (0.500, 0.500, 0.845)
Se (0.000, 0.500, 0.250)
Se (0.000, 0.500, 0.750)
Se (0.500, 0.000, 0.250)
Se (0.500, 0.000, 0.750)

Relative to the most stable structure, the computed energies are (w) 155; (x) 0, all in meV/atom.

(w)
Computed, not measured: a relaxed RbPbSe crystal at the PBE-GGA level of DFT.

Spin magnetization in μB per atom: 0.000
Symmetry: P2_1/m

Lattice parameters (Å, degrees): 4.082 5.583 9.563 90.00 92.08 90.00
Positions (direct):
Rb (0.230, 0.250, 0.349)
Rb (0.770, 0.750, 0.651)
Pb (0.176, 0.750, 0.060)
Pb (0.824, 0.250, 0.940)
Se (0.284, 0.250, 0.718)
Se (0.716, 0.750, 0.282)

(x)
Computed, not measured: a relaxed RbPbSe crystal at the PBE-GGA level of DFT.

Spin magnetization in μB per atom: 0.000
Symmetry: P-6m2

Lattice parameters (Å, degrees): 5.162 5.162 4.851 90.00 90.00 120.00
Positions (direct):
Rb (0.000, 0.000, 0.000)
Pb (0.667, 0.333, 0.500)
Se (0.333, 0.667, 0.500)

Relative to the most stable structure, the computed energies are (w) 0; (x) 136, all in meV/atom.

(w)
Computed, not measured: a relaxed RbSi2Pb2 crystal at the PBE-GGA level of DFT.

Spin magnetization in μB per atom: 0.000
Symmetry: I4/mmm

Lattice parameters (Å, degrees): 5.113 5.113 11.409 90.00 90.00 90.00
Positions (direct):
Rb (0.000, 0.000, 0.000)
Rb (0.500, 0.500, 0.500)
Si (0.000, 0.000, 0.396)
Si (0.000, 0.000, 0.604)
Si (0.500, 0.500, 0.104)
Si (0.500, 0.500, 0.896)
Pb (0.000, 0.500, 0.250)
Pb (0.000, 0.500, 0.750)
Pb (0.500, 0.000, 0.250)
Pb (0.500, 0.000, 0.750)

(x)
Computed, not measured: a relaxed RbSi2Pb2 crystal at the PBE-GGA level of DFT.

Spin magnetization in μB per atom: 0.000
Symmetry: I4/mmm

Lattice parameters (Å, degrees): 4.484 4.484 16.262 90.00 90.00 90.00
Positions (direct):
Rb (0.000, 0.000, 0.000)
Rb (0.500, 0.500, 0.500)
Si (0.000, 0.500, 0.250)
Si (0.000, 0.500, 0.750)
Si (0.500, 0.000, 0.250)
Si (0.500, 0.000, 0.750)
Pb (0.000, 0.000, 0.359)
Pb (0.000, 0.000, 0.641)
Pb (0.500, 0.500, 0.141)
Pb (0.500, 0.500, 0.859)

Relative to the most stable structure, the computed energies are (w) 0; (x) 50, all in meV/atom.

(w)
Computed, not measured: a relaxed RbSmPb2 crystal at the PBE-GGA level of DFT.

Spin magnetization in μB per atom: 0.000
Symmetry: P4/mmm

Lattice parameters (Å, degrees): 4.222 4.222 8.323 90.00 90.00 90.00
Positions (direct):
Rb (0.000, 0.000, 0.000)
Sm (0.000, 0.000, 0.500)
Pb (0.500, 0.500, 0.313)
Pb (0.500, 0.500, 0.687)

(x)
Computed, not measured: a relaxed RbSmPb2 crystal at the PBE-GGA level of DFT.

Spin magnetization in μB per atom: 0.000
Symmetry: R-3m

Lattice parameters (Å, degrees): 3.845 3.845 33.633 90.00 90.00 120.00
Positions (direct):
Rb (0.000, 0.000, 0.000)
Rb (0.333, 0.667, 0.667)
Rb (0.667, 0.333, 0.333)
Sm (0.000, 0.000, 0.500)
Sm (0.333, 0.667, 0.167)
Sm (0.667, 0.333, 0.833)
Pb (0.000, 0.000, 0.243)
Pb (0.000, 0.000, 0.757)
Pb (0.333, 0.667, 0.424)
Pb (0.333, 0.667, 0.909)
Pb (0.667, 0.333, 0.091)
Pb (0.667, 0.333, 0.576)

Relative to the most stable structure, the computed energies are (w) 0; (x) 162, all in meV/atom.

(w)
Computed, not measured: a relaxed RbSnPb3 crystal at the PBE-GGA level of DFT.

Spin magnetization in μB per atom: 0.000
Symmetry: Pm-3m

Lattice parameters (Å, degrees): 5.991 5.991 5.991 90.00 90.00 90.00
Positions (direct):
Rb (0.000, 0.000, 0.000)
Sn (0.500, 0.500, 0.500)
Pb (0.000, 0.500, 0.500)
Pb (0.500, 0.000, 0.500)
Pb (0.500, 0.500, 0.000)

(x)
Computed, not measured: a relaxed RbSnPb3 crystal at the PBE-GGA level of DFT.

Spin magnetization in μB per atom: 0.000
Symmetry: Pc

Lattice parameters (Å, degrees): 7.167 7.198 10.143 90.00 134.92 90.00
Positions (direct):
Rb (0.000, 0.242, 0.000)
Rb (0.000, 0.758, 0.500)
Sn (0.347, 0.401, 0.847)
Sn (0.347, 0.599, 0.347)
Pb (0.251, 0.261, 0.501)
Pb (0.251, 0.739, 0.001)
Pb (0.644, 0.104, 0.144)
Pb (0.644, 0.896, 0.644)
Pb (0.751, 0.261, 0.501)
Pb (0.751, 0.739, 0.001)

Relative to the most stable structure, the computed energies are (w) 308; (x) 0, all in meV/atom.